Entry 1:
Gd2TcOs, relaxed, DFT PBE; total DFT energy (no corrections) = -12.3008 eV per atom
1.0
3.452 0.000 0.000
0.000 4.855 0.000
0.000 0.000 4.855
Gd Tc Os
2 1 1
Cartesian
0.000 2.427 0.000
0.000 0.000 2.427
1.726 0.000 0.000
1.726 2.427 2.427

Entry 2:
GdThTcOs, relaxed, DFT PBE; total DFT energy (no corrections) = -10.8332 eV per atom
1.0
4.944 0.000 0.000
2.472 4.282 0.000
2.472 1.427 4.037
Gd Th Tc Os
1 1 1 1
Cartesian
4.944 2.855 2.018
0.000 0.000 0.000
7.416 4.282 3.028
2.472 1.427 1.009

Entry 3:
GdZrTcOs, relaxed, DFT PBE; total DFT energy (no corrections) = -11.1774 eV per atom
1.0
-2.126 1.789 3.850
-4.409 -1.355 1.122
-0.744 -2.753 3.796
Zr Os Tc Gd
1 1 1 1
Cartesian
-1.820 -0.580 2.192
0.000 0.000 0.000
-3.639 -1.159 4.384
-5.459 -1.739 6.576

no.,V (Å³ per atom)
1,20.3
2,21.4
3,18.9